[1]
Material: LiPtBr4
Method: DFT, PBE
State: relaxed

As for the energy: -10.36 eV per formula unit. Its crystal system is cubic.

a = 6.188 Å, b = 6.188 Å, c = 6.188 Å
α = 60.00°, β = 60.00°, γ = 60.00°
Element x y z (fractional)
Li 0.750 0.750 0.750
Pt 0.000 0.000 0.000
Br 0.877 0.374 0.374
Br 0.374 0.374 0.877
Br 0.374 0.877 0.374
Br 0.374 0.374 0.374

***

[2]
Material: Ca5Hg4Pt
Method: DFT, PBE
State: relaxed

As for the energy: -23.36 eV per formula unit. Its crystal system is tetragonal. For the formation energy, the calculation gives -6.1 eV per formula unit.

a = 3.686 Å, b = 3.686 Å, c = 19.081 Å
α = 90.00°, β = 90.00°, γ = 90.00°
Element x y z (fractional)
Ca 0.500 0.500 0.086
Ca 0.500 0.500 0.294
Ca 0.500 0.500 0.500
Ca 0.500 0.500 0.706
Ca 0.500 0.500 0.914
Hg 0.000 0.000 0.192
Hg 0.000 0.000 0.397
Hg 0.000 0.000 0.603
Hg 0.000 0.000 0.808
Pt 0.000 0.000 0.000

***

[3]
Material: Pm2PdRh2
Method: DFT, PBE
State: relaxed

As for the energy: -32.93 eV per formula unit. Its crystal system is orthorhombic. For the formation energy, the calculation gives -3.5 eV per formula unit.

a = 4.537 Å, b = 5.469 Å, c = 5.469 Å
α = 62.73°, β = 65.49°, γ = 65.49°
Element x y z (fractional)
Pm 0.795 0.705 0.705
Pm 0.205 0.295 0.295
Pd 0.000 0.000 0.000
Rh 0.500 0.266 0.734
Rh 0.500 0.734 0.266

***

[4]
Material: NaGe2Te2
Method: DFT, PBE
State: relaxed

As for the energy: -17.26 eV per formula unit. Its crystal system is tetragonal.

a = 4.114 Å, b = 4.114 Å, c = 8.471 Å
α = 75.95°, β = 75.95°, γ = 90.00°
Element x y z (fractional)
Na 0.000 0.000 0.000
Ge 0.750 0.250 0.500
Ge 0.250 0.750 0.500
Te 0.401 0.401 0.198
Te 0.599 0.599 0.802

***

[5]
Material: ScSb2Ir
Method: DFT, PBE
State: relaxed

As for the energy: -23.67 eV per formula unit. Its crystal system is cubic.

a = 4.931 Å, b = 4.931 Å, c = 4.931 Å
α = 60.00°, β = 60.00°, γ = 60.00°
Element x y z (fractional)
Ir 0.500 0.500 0.500
Sb 0.000 0.000 0.000
Sb 0.750 0.750 0.750
Sc 0.250 0.250 0.250

***

[6]
Material: Tc5Ir3
Method: DFT, PBE
State: relaxed

As for the energy: -77.13 eV per formula unit. Its crystal system is hexagonal. For the formation energy, the calculation gives 1.3 eV per formula unit.

a = 7.710 Å, b = 7.710 Å, c = 4.738 Å
α = 90.00°, β = 90.00°, γ = 60.00°
Element x y z (fractional)
Ir 0.596 0.404 0.750
Ir 0.404 0.596 0.250
Ir 0.404 0.000 0.750
Ir 0.000 0.404 0.250
Ir 0.597 0.000 0.250
Ir 0.000 0.597 0.750
Tc 0.801 0.199 0.250
Tc 0.199 0.801 0.750
Tc 0.199 0.000 0.250
Tc 0.000 0.199 0.750
Tc 0.667 0.667 0.000
Tc 0.667 0.667 0.500
Tc 0.333 0.333 0.000
Tc 0.333 0.333 0.500
Tc 0.801 0.000 0.750
Tc 0.000 0.801 0.250

***

[7]
Material: Pr7Y3Ho
Method: DFT, PBE
State: relaxed

As for the energy: -54.83 eV per formula unit. Its crystal system is monoclinic. For the formation energy, the calculation gives 2.6 eV per formula unit.

a = 6.534 Å, b = 7.847 Å, c = 7.847 Å
α = 82.26°, β = 85.92°, γ = 85.92°
Element x y z (fractional)
Pr 0.784 0.240 0.240
Pr 0.739 0.922 0.575
Pr 0.261 0.425 0.078
Pr 0.739 0.575 0.922
Pr 0.000 0.500 0.500
Pr 0.261 0.078 0.425
Pr 0.216 0.760 0.760
Y 0.000 0.832 0.168
Y 0.500 0.000 0.000
Y 0.000 0.168 0.832
Ho 0.500 0.500 0.500

***

[8]
Material: HfTa
Method: DFT, PBE
State: relaxed

As for the energy: -17.60 eV per formula unit. Its crystal system is cubic. For the formation energy, the calculation gives 4.2 eV per formula unit.

a = 8.330 Å, b = 8.330 Å, c = 8.330 Å
α = 90.00°, β = 90.00°, γ = 90.00°
Element x y z (fractional)
Hf 0.206 0.206 0.206
Hf 0.206 0.794 0.794
Hf 0.794 0.206 0.794
Hf 0.794 0.794 0.206
Hf 0.706 0.706 0.706
Hf 0.706 0.294 0.294
Hf 0.294 0.706 0.294
Hf 0.294 0.294 0.706
Ta 0.386 0.386 0.386
Ta 0.386 0.614 0.614
Ta 0.614 0.386 0.614
Ta 0.614 0.614 0.386
Ta 0.886 0.886 0.886
Ta 0.886 0.114 0.114
Ta 0.114 0.886 0.114
Ta 0.114 0.114 0.886

***

[9]
Material: Pr8GeTe3S3
Method: DFT, PBE
State: relaxed

As for the energy: -87.41 eV per formula unit. Its crystal system is trigonal.

a = 8.497 Å, b = 8.497 Å, c = 8.758 Å
α = 119.02°, β = 90.00°, γ = 120.00°
Element x y z (fractional)
Pr 0.264 0.528 0.293
Pr 0.736 0.472 0.707
Pr 0.757 0.513 0.280
Pr 0.243 0.487 0.720
Pr 0.757 0.024 0.280
Pr 0.243 0.976 0.720
Pr 0.267 0.024 0.280
Pr 0.733 0.976 0.720
Ge 0.000 0.000 0.500
Te 0.000 0.000 0.000
Te 0.000 0.500 0.000
Te 0.500 0.500 0.000
S 0.500 0.000 0.500
S 0.500 0.500 0.500
S 0.000 0.500 0.500

***

[10]
Material: Hg2PBr
Method: DFT, PBE
State: relaxed

As for the energy: -5.91 eV per formula unit. Its crystal system is tetragonal.

a = 3.316 Å, b = 5.291 Å, c = 5.291 Å
α = 90.00°, β = 90.00°, γ = 90.00°
Element x y z (fractional)
Br 0.500 0.000 0.500
Hg 0.000 0.000 0.000
Hg 0.000 0.500 0.500
P 0.500 0.500 0.000

***

[11]
Material: Al2Zn2Cu
Method: DFT, PBE
State: relaxed

As for the energy: -13.00 eV per formula unit. Its crystal system is tetragonal. For the formation energy, the calculation gives 1.1 eV per formula unit.

a = 3.503 Å, b = 3.503 Å, c = 7.190 Å
α = 75.90°, β = 75.90°, γ = 90.00°
Element x y z (fractional)
Zn 0.750 0.250 0.500
Zn 0.250 0.750 0.500
Al 0.404 0.404 0.191
Al 0.596 0.596 0.809
Cu 0.000 0.000 0.000

***

[12]
Material: Y2Te2Br
Method: DFT, PBE
State: relaxed

As for the energy: -28.11 eV per formula unit. Its crystal system is tetragonal.

a = 8.346 Å, b = 8.346 Å, c = 4.052 Å
α = 90.00°, β = 90.00°, γ = 90.00°
Element x y z (fractional)
Y 0.349 0.849 0.000
Y 0.849 0.651 0.000
Y 0.651 0.151 0.000
Y 0.151 0.349 0.000
Te 0.145 0.645 0.500
Te 0.645 0.855 0.500
Te 0.855 0.355 0.500
Te 0.355 0.145 0.500
Br 0.000 0.000 0.000
Br 0.500 0.500 0.000

***

[13]
Material: SmAl2SiIr
Method: DFT, PBE
State: relaxed

As for the energy: -30.26 eV per formula unit. Its crystal system is orthorhombic.

a = 4.058 Å, b = 3.947 Å, c = 6.249 Å
α = 108.41°, β = 108.95°, γ = 90.00°
Element x y z (fractional)
Sm 0.436 0.436 0.872
Al 0.693 0.193 0.385
Al 0.054 0.054 0.108
Si 0.831 0.831 0.661
Ir 0.199 0.699 0.397

***

[14]
Material: Cu3PdN
Method: DFT, PBE
State: relaxed

As for the energy: -15.50 eV per formula unit. Its crystal system is cubic.

a = 4.607 Å, b = 4.607 Å, c = 4.607 Å
α = 90.00°, β = 90.00°, γ = 90.00°
Element x y z (fractional)
Cu 0.000 0.500 0.000
Cu 0.000 0.000 0.500
Cu 0.500 0.000 0.000
Pd 0.000 0.000 0.000
N 0.500 0.500 0.500

***

[15]
Material: K2TlTeI6
Method: DFT, PBE
State: relaxed

As for the energy: -24.13 eV per formula unit. Its crystal system is triclinic.

a = 9.019 Å, b = 8.345 Å, c = 9.368 Å
α = 60.39°, β = 57.85°, γ = 59.31°
Element x y z (fractional)
K 0.529 0.518 0.418
K 0.005 0.048 0.937
Tl 0.826 0.815 0.537
Te 0.329 0.324 0.022
I 0.576 0.146 0.294
I 0.212 0.972 0.235
I 0.985 0.559 0.248
I 0.437 0.681 0.780
I 0.678 0.107 0.784
I 0.087 0.491 0.760

***

[16]
Material: Er5CdRh4
Method: DFT, PBE
State: relaxed

As for the energy: -61.33 eV per formula unit. Its crystal system is tetragonal. For the formation energy, the calculation gives -8.2 eV per formula unit.

a = 3.427 Å, b = 3.427 Å, c = 17.682 Å
α = 90.00°, β = 90.00°, γ = 90.00°
Element x y z (fractional)
Er 0.500 0.500 0.121
Er 0.500 0.500 0.310
Er 0.500 0.500 0.500
Er 0.500 0.500 0.690
Er 0.500 0.500 0.879
Cd 0.000 0.000 0.000
Rh 0.000 0.000 0.212
Rh 0.000 0.000 0.405
Rh 0.000 0.000 0.595
Rh 0.000 0.000 0.788

***

[17]
Material: DyYBiTe
Method: DFT, PBE
State: relaxed

As for the energy: -22.53 eV per formula unit. Its crystal system is tetragonal.

a = 4.417 Å, b = 4.419 Å, c = 6.256 Å
α = 90.03°, β = 90.00°, γ = 90.00°
Element x y z (fractional)
Dy 0.500 0.391 0.093
Y 0.000 0.892 0.592
Bi 0.500 0.392 0.593
Te 0.000 0.891 0.092

***

[18]
Material: Ir3Rh2
Method: DFT, PBE
State: relaxed

As for the energy: -40.52 eV per formula unit. Its crystal system is orthorhombic. For the formation energy, the calculation gives 0.8 eV per formula unit.

a = 8.098 Å, b = 7.102 Å, c = 5.161 Å
α = 80.99°, β = 60.01°, γ = 39.00°
Element x y z (fractional)
Ir 0.348 0.459 0.721
Ir 0.471 0.721 0.459
Ir 0.791 0.902 0.779
Ir 0.529 0.779 0.902
Ir 0.927 0.073 0.073
Ir 0.177 0.323 0.323
Rh 0.350 0.556 0.191
Rh 0.903 0.191 0.556
Rh 0.694 0.900 0.347
Rh 0.059 0.347 0.900

***

[19]
Material: TbPmZnNi
Method: DFT, PBE
State: relaxed

As for the energy: -17.62 eV per formula unit. Its crystal system is cubic. For the formation energy, the calculation gives -1.2 eV per formula unit.

a = 4.991 Å, b = 4.991 Å, c = 4.991 Å
α = 60.00°, β = 60.00°, γ = 60.00°
Element x y z (fractional)
Ni 0.750 0.750 0.750
Zn 0.250 0.250 0.250
Tb 0.000 0.000 0.000
Pm 0.500 0.500 0.500

***

[20]
Material: Rb2YFePd
Method: DFT, PBE
State: relaxed

As for the energy: -16.97 eV per formula unit. Its crystal system is tetragonal. For the formation energy, the calculation gives 5.1 eV per formula unit.

a = 6.331 Å, b = 4.900 Å, c = 6.331 Å
α = 90.00°, β = 90.00°, γ = 90.00°
Element x y z (fractional)
Y 0.500 0.500 0.500
Rb 0.000 0.000 0.500
Rb 0.500 0.000 0.000
Pd 0.000 0.000 0.000
Fe 0.000 0.500 0.000

***

[21]
Material: RbSr2Re2
Method: DFT, PBE
State: relaxed

As for the energy: -22.96 eV per formula unit. Its crystal system is tetragonal. For the formation energy, the calculation gives 6.3 eV per formula unit.

a = 6.073 Å, b = 6.073 Å, c = 6.463 Å
α = 61.98°, β = 61.98°, γ = 90.00°
Element x y z (fractional)
Re 0.386 0.386 0.228
Re 0.614 0.614 0.772
Rb 0.000 0.000 0.000
Sr 0.750 0.250 0.500
Sr 0.250 0.750 0.500

***

[22]
Material: ScTlO2
Method: DFT, PBE
State: relaxed

As for the energy: -27.94 eV per formula unit. Its crystal system is trigonal.

a = 3.268 Å, b = 6.749 Å, c = 3.268 Å
α = 104.01°, β = 60.00°, γ = 104.01°
Element x y z (fractional)
Sc 0.500 0.500 0.500
Tl 0.000 0.000 0.000
O 0.221 0.664 0.221
O 0.779 0.336 0.779

***

[23]
Material: BaScPb2
Method: DFT, PBE
State: relaxed

As for the energy: -16.92 eV per formula unit. Its crystal system is orthorhombic. For the formation energy, the calculation gives -1.2 eV per formula unit.

a = 4.001 Å, b = 4.705 Å, c = 7.344 Å
α = 90.01°, β = 90.00°, γ = 90.00°
Element x y z (fractional)
Ba 0.500 0.625 0.782
Pb 0.000 0.125 0.035
Pb 0.500 0.125 0.390
Sc 0.000 0.625 0.293

***

[24]
Material: LaCe2PaN4
Method: DFT, PBE
State: relaxed

As for the energy: -71.68 eV per formula unit. Its crystal system is monoclinic.

a = 3.591 Å, b = 6.253 Å, c = 6.213 Å
α = 109.38°, β = 90.00°, γ = 90.00°
Element x y z (fractional)
La 0.500 0.500 0.000
Ce 0.500 0.000 0.500
Ce 0.000 0.500 0.500
Pa 0.000 0.000 0.000
N 0.500 0.220 0.233
N 0.500 0.780 0.767
N 0.000 0.217 0.751
N 0.000 0.783 0.249

***

[25]
Material: AcCuS4
Method: DFT, PBE
State: relaxed

As for the energy: -29.62 eV per formula unit. Its crystal system is triclinic.

a = 7.340 Å, b = 6.369 Å, c = 6.318 Å
α = 101.26°, β = 98.37°, γ = 98.19°
Element x y z (fractional)
Ac 0.217 0.264 0.575
Ac 0.783 0.736 0.425
Cu 0.727 0.276 0.821
Cu 0.273 0.724 0.179
S 0.804 0.253 0.484
S 0.399 0.422 0.209
S 0.955 0.069 0.864
S 0.477 0.175 0.979
S 0.196 0.747 0.516
S 0.601 0.578 0.791
S 0.045 0.931 0.136
S 0.523 0.825 0.021